# 1
This record from Alexandria via LeMat-Bulk describes crystalline Tb3SmCu2 at its relaxed geometry. The functional is PBE.

Results
Total DFT energy (no corrections) ... -27.674 eV/cell
DOS(E_F) ... 0.968 states/eV per atom
E above lowest polymorph ... 0.000 eV per atom

abc: 3.511 3.511 12.203
angles: 90.00 90.00 90.00
Space group P4/mmm (No. 123)
Symmetry-distinct sites (fractional):
Tb 0.000 0.000 0.000 [1 per cell]
Tb 0.000 0.000 0.281 [2 per cell]
Sm 0.500 0.500 0.500 [1 per cell]
Cu 0.500 0.500 0.142 [2 per cell]

# 2
This record from Alexandria via LeMat-Bulk describes crystalline TbSmCu at its relaxed geometry. The functional is PBE.

Results
Total DFT energy (no corrections) ... -27.536 eV/cell
DOS(E_F) ... 1.101 states/eV per atom
E above lowest polymorph ... 0.000 eV per atom

abc: 3.518 3.518 12.515
angles: 90.00 90.00 90.00
Space group I4mm (No. 107)
Symmetry-distinct sites (fractional):
Tb 0.000 0.000 0.000 [2 per cell]
Sm 0.000 0.000 0.278 [2 per cell]
Cu 0.000 0.000 0.632 [2 per cell]

# 3
This record from Alexandria via LeMat-Bulk describes crystalline Tb3SmCu at its relaxed geometry. The functional is PBE.

Results
Total DFT energy (no corrections) ... -22.176 eV/cell
DOS(E_F) ... 1.220 states/eV per atom

abc: 5.404 5.404 5.404
angles: 90.00 90.00 90.00
Space group Pm-3m (No. 221)
Symmetry-distinct sites (fractional):
Tb 0.000 0.000 0.500 [3 per cell]
Sm 0.500 0.500 0.500 [1 per cell]
Cu 0.000 0.000 0.000 [1 per cell]

# 4
This record from Alexandria via LeMat-Bulk describes crystalline Tb2SmCu4 at its relaxed geometry. The functional is PBE.

Results
Total DFT energy (no corrections) ... -60.613 eV/cell
DOS(E_F) ... 0.796 states/eV per atom

abc: 5.292 5.292 10.702
angles: 90.00 90.00 90.00
Space group I4/mmm (No. 139)
Symmetry-distinct sites (fractional):
Tb 0.000 0.000 0.199 [4 per cell]
Sm 0.000 0.000 0.500 [2 per cell]
Cu 0.000 0.500 0.124 [8 per cell]

# 5
This record from Alexandria via LeMat-Bulk describes crystalline Tb4SmCu4 at its relaxed geometry. The functional is PBE.

Results
Total DFT energy (no corrections) ... -79.660 eV/cell
DOS(E_F) ... 1.366 states/eV per atom

abc: 8.682 8.682 5.936
angles: 90.00 90.00 90.00
Space group P4_2/n (No. 86, origin choice 2)
Symmetry-distinct sites (fractional):
Tb 0.058 0.662 0.151 [8 per cell]
Sm 0.250 0.250 0.250 [2 per cell]
Cu 0.026 0.618 0.625 [8 per cell]

# 6
This record from Alexandria via LeMat-Bulk describes crystalline TbSm3Cu4 at its relaxed geometry. The functional is PBE.

Results
Total DFT energy (no corrections) ... -36.713 eV/cell
DOS(E_F) ... 0.672 states/eV per atom

abc: 5.001 5.001 7.038
angles: 90.00 90.00 90.00
Space group P4/mmm (No. 123)
Symmetry-distinct sites (fractional):
Tb 0.000 0.000 0.000 [1 per cell]
Sm 0.000 0.000 0.500 [1 per cell]
Sm 0.500 0.500 0.000 [1 per cell]
Sm 0.500 0.500 0.500 [1 per cell]
Cu 0.000 0.500 0.245 [4 per cell]

# 7
This record from Alexandria via LeMat-Bulk describes crystalline TbSm2Cu2 at its relaxed geometry. The functional is PBE.

Results
Total DFT energy (no corrections) ... -45.738 eV/cell
DOS(E_F) ... 0.896 states/eV per atom
E above lowest polymorph ... 0.000 eV per atom

abc: 3.573 5.120 13.319
angles: 90.00 97.72 90.00
Space group P2_1/m (No. 11)
Symmetry-distinct sites (fractional):
Tb 0.140 0.250 0.281 [2 per cell]
Sm 0.046 0.750 0.094 [2 per cell]
Sm 0.230 0.750 0.460 [2 per cell]
Cu 0.361 0.250 0.721 [2 per cell]
Cu 0.453 0.750 0.905 [2 per cell]

# 8
This record from Alexandria via LeMat-Bulk describes crystalline TbSmCu3 at its relaxed geometry. The functional is PBE.

Results
Total DFT energy (no corrections) ... -91.049 eV/cell
DOS(E_F) ... 0.734 states/eV per atom

abc: 3.606 26.069 4.321
angles: 90.00 90.00 90.00
Space group Cmcm (No. 63)
Symmetry-distinct sites (fractional):
Tb 0.000 0.070 0.250 [4 per cell]
Sm 0.000 0.203 0.750 [4 per cell]
Cu 0.000 0.334 0.750 [4 per cell]
Cu 0.000 0.385 0.250 [4 per cell]
Cu 0.000 0.478 0.250 [4 per cell]

| no. | formation energy (eV per atom) | spin magnetization (μB per formula unit) |
| --- | --- | --- |
| 1 | -0.15 | 0.0 |
| 2 | -0.11 | 0.0 |
| 3 | 0.11 | 0.0 |
| 4 | 0.01 | 0.0 |
| 5 | -0.02 | 0.0 |
| 6 | -0.19 | 0.0 |
| 7 | -0.12 | 0.0 |
| 8 | -0.22 | 0.0 |